Here is NbCo2HRh after structural relaxation from the Alexandria database. Energies are from PBE.

Unit cell a=3.7206 b=3.7206 c=3.9577 alpha=90.00 beta=90.00 gamma=90.00
Fractional positions:
1 Co 0.0000 0.5000 0.0000
2 Co 0.5000 0.0000 0.0000
3 Nb 0.0000 0.0000 0.5000
4 Rh 0.5000 0.5000 0.5000
5 H 0.0000 0.0000 0.0000

Magnetic moment (μB per atom): 0.172
Relative energy among the computed polymorphs (kJ/mol of formula units): 21
N(E_F) (states/eV/cell): 2.784
Space-group type: No. 123
Electronic total energy (eV for the cell shown): -35.917